No. 1
{"formula": "ScPt3W", "functional": "PBEsol", "state": "optimized geometry", "cell": [[4.7824, 0.0000, 0.0000], [0.0000, 4.7824, 0.0000], [0.0000, 0.0000, 4.7824]], "species": ["Sc", "Pt", "Pt", "Pt", "W"], "fractional_positions": [[0.0000, 0.0000, 0.0000], [0.0000, 0.5000, 0.5000], [0.5000, 0.0000, 0.5000], [0.5000, 0.5000, 0.0000], [0.5000, 0.5000, 0.5000]], "e_form_ev_per_fu": 3.1, "sg": "Pm-3m (221)"}

***

No. 2
{"formula": "ScPt2W", "functional": "PBEsol", "state": "optimized geometry", "cell": [[1.4267, 0.8237, 9.0714], [-1.4267, 0.8237, 9.0714], [0.0000, -1.6475, 9.0714]], "species": ["Sc", "Pt", "Pt", "W"], "fractional_positions": [[0.0000, 0.0000, 0.0000], [0.2492, 0.2492, 0.2492], [0.7508, 0.7508, 0.7508], [0.5000, 0.5000, 0.5000]], "e_form_ev_per_fu": -1.1, "sg": "R-3m (166)"}

***

No. 3
{"formula": "ScPt2W", "functional": "PBEsol", "state": "optimized geometry", "cell": [[3.3107, 0.0000, 0.0000], [0.0000, 3.3107, 0.0000], [0.0000, 0.0000, 5.9768]], "species": ["Sc", "Pt", "Pt", "W"], "fractional_positions": [[0.0000, 0.0000, 0.0000], [0.0000, 0.0000, 0.5047], [0.5000, 0.5000, 0.7704], [0.5000, 0.5000, 0.3025]], "e_form_ev_per_fu": -1.5, "sg": "P4mm (99)"}

***

No. 4
{"formula": "ScPt2W", "functional": "PBEsol", "state": "optimized geometry", "cell": [[4.8180, 0.0000, 0.0000], [0.0000, 4.8180, 0.0000], [0.0000, 0.0000, 2.7766]], "species": ["Sc", "Pt", "Pt", "W"], "fractional_positions": [[0.0000, 0.0000, 0.0000], [0.0000, 0.5000, 0.5000], [0.5000, 0.0000, 0.5000], [0.5000, 0.5000, 0.0000]], "e_form_ev_per_fu": -2.0, "sg": "P4/mmm (123)"}